VASP calculation (GGA-PBE) on a relaxed K3Tl4Sb2 crystal.

The structure in CIF format:
```
data_K3Tl4Sb2
_cell_length_a 4.815
_cell_length_b 7.163
_cell_length_c 11.293
_cell_angle_alpha 66.51
_cell_angle_beta 77.69
_cell_angle_gamma 70.36
_symmetry_space_group_name_H-M 'P 1'
_symmetry_Int_Tables_number 1
_symmetry_space_group_name_Hall 'P 1'
loop_
_atom_site_label
_atom_site_fract_x
_atom_site_fract_y
_atom_site_fract_z
K1 0.688 0.239 0.385
K2 0.312 0.761 0.615
K3 0.000 0.000 0.000
Tl1 0.997 0.346 0.659
Tl2 0.768 0.573 0.891
Tl3 0.003 0.654 0.341
Tl4 0.232 0.427 0.109
Sb1 0.608 0.046 0.739
Sb2 0.392 0.954 0.261
```

calculated volume = 37.22 Å³/atom
calculated total energy = -2.56 eV/atom
total magnetization = 0.00 Bohr magnetons per cell
raw formation energy = -0.23 eV/atom